Computed, not measured: a relaxed Na3NpAs2Se6 crystal at the PBE level of DFT.

The structure belongs to space group C2/m (No. 12); the cell edges are 7.0252, 12.1854 and 7.3762 Å and the angles 90.00°, 108.55° and 90.00°. The inequivalent atoms are Na at (0.0000, 0.0000, 0.0000), Na at (0.0000, 0.3344, 0.0000), Np at (0.0000, 0.5000, 0.5000), As at (0.0000, 0.1677, 0.5000), Se at (0.2257, 0.0000, 0.7228) and Se at (0.2480, 0.3250, 0.7207).

The volume comes out at 598.6 Å³ per cell. The total moment comes out at 4.0 μB/f.u. The formation energy without anion corrections comes out at -0.720 eV per atom. For the density of states at the Fermi level, the calculation gives 5.96 states/eV/f.u.